No. 1
Density functional theory data (GGA-PBE) for a relaxed Y2FeRe crystal.

Output
Offset from the most stable computed form (eV/atom): 0.018

a = 3.9299 Å, b = 4.4487 Å, c = 10.2486 Å
α = 90.00°, β = 90.00°, γ = 90.00°
Last column: nearest neighbours and their distance in Å.
Space group Amm2 (No. 38)
Inequivalent atoms, fractional coordinates:
Y 0.0000 0.0000 0.0000 (multiplicity 2)  3 Fe 3.04-3.06, 4 Re 3.12
Y 0.5000 0.0000 0.2911 (multiplicity 2)  3 Re 3.01-3.09, 4 Fe 3.11
Fe 0.0000 0.0000 0.7018 (multiplicity 2)  2 Re 2.26
Re 0.5000 0.0000 0.5929 (multiplicity 2)  2 Fe 2.26

---

No. 2
Density functional theory data (GGA-PBE) for a relaxed YFe2Re crystal.

Output
Offset from the most stable computed form (eV/atom): 0.409

a = 3.3951 Å, b = 4.1984 Å, c = 4.5156 Å
α = 90.00°, β = 90.00°, γ = 90.00°
Last column: nearest neighbours and their distance in Å.
Space group Pmmm (No. 47)
Inequivalent atoms, fractional coordinates:
Y 0.0000 0.0000 0.0000 (multiplicity 1)  4 Fe 2.70, 4 Re 2.82
Fe 0.0000 0.5000 0.5000 (multiplicity 1)  4 Re 2.70, 4 Fe 2.82
Fe 0.5000 0.5000 0.0000 (multiplicity 1)  4 Y 2.70, 4 Fe 2.82
Re 0.5000 0.0000 0.5000 (multiplicity 1)  4 Fe 2.70, 4 Y 2.82

---

No. 3
Density functional theory data (GGA-PBE) for a relaxed YFeRe4 crystal.

a = 7.4813 Å, b = 7.4813 Å, c = 7.4813 Å
α = 90.00°, β = 90.00°, γ = 90.00°
Last column: nearest neighbours and their distance in Å.
Space group F-43m (No. 216)
Inequivalent atoms, fractional coordinates:
Y 0.0000 0.0000 0.0000 (multiplicity 4)  12 Re 3.10, 4 Fe 3.24
Fe 0.2500 0.2500 0.7500 (multiplicity 4)  12 Re 3.10, 4 Y 3.24
Re 0.1244 0.1244 0.3756 (multiplicity 16)  6 Re 2.63-2.66

---

No. 4
Density functional theory data (GGA-PBE) for a relaxed YFe2Re crystal.

Output
Offset from the most stable computed form (eV/atom): 0.000

a = 4.1033 Å, b = 4.1033 Å, c = 14.7632 Å
α = 90.00°, β = 90.00°, γ = 120.00°
Last column: nearest neighbours and their distance in Å.
Space group R-3m (No. 166, hexagonal axes)
Inequivalent atoms, fractional coordinates:
Y 0.0000 0.0000 0.0000 (multiplicity 3)  8 Fe 2.90-3.11
Fe 0.0000 0.0000 0.1966 (multiplicity 6)  3 Re 2.41, 3 Fe 2.53
Re 0.0000 0.0000 0.5000 (multiplicity 3)  6 Fe 2.41

---

No. 5
Density functional theory data (GGA-PBE) for a relaxed YFe2Re crystal.

Output
Offset from the most stable computed form (eV/atom): 0.417

a = 6.2825 Å, b = 6.2825 Å, c = 6.2825 Å
α = 90.00°, β = 90.00°, γ = 90.00°
Last column: nearest neighbours and their distance in Å.
Space group F-43m (No. 216)
Inequivalent atoms, fractional coordinates:
Y 0.0000 0.0000 0.0000 (multiplicity 4)  4 Fe 2.72, 4 Re 2.72
Fe 0.0000 0.0000 0.5000 (multiplicity 4)  4 Fe 2.72, 4 Re 2.72
Fe 0.2500 0.2500 0.2500 (multiplicity 4)  4 Fe 2.72, 4 Y 2.72
Re 0.2500 0.2500 0.7500 (multiplicity 4)  4 Fe 2.72, 4 Y 2.72

---

No. 6
Density functional theory data (GGA-PBE) for a relaxed YFe2Re crystal.

Output
Offset from the most stable computed form (eV/atom): 0.329

a = 3.2722 Å, b = 4.6862 Å, c = 8.5578 Å
α = 90.00°, β = 90.00°, γ = 90.00°
Last column: nearest neighbours and their distance in Å.
Space group Immm (No. 71)
Inequivalent atoms, fractional coordinates:
Y 0.0000 0.0000 0.0000 (multiplicity 2)  4 Re 2.86, 8 Fe 2.86-3.04
Fe 0.0000 0.5000 0.2256 (multiplicity 4)  2 Re 2.53
Re 0.0000 0.0000 0.5000 (multiplicity 2)  4 Fe 2.53

---

No. 7
Density functional theory data (GGA-PBE) for a relaxed Y2FeRe crystal.

Output
Offset from the most stable computed form (eV/atom): 0.466

a = 6.8061 Å, b = 6.8061 Å, c = 6.8061 Å
α = 90.00°, β = 90.00°, γ = 90.00°
Last column: nearest neighbours and their distance in Å.
Space group F-43m (No. 216)
Inequivalent atoms, fractional coordinates:
Y 0.0000 0.0000 0.0000 (multiplicity 4)  4 Re 2.95, 4 Y 2.95
Y 0.2500 0.2500 0.2500 (multiplicity 4)  4 Fe 2.95, 4 Y 2.95
Fe 0.0000 0.0000 0.5000 (multiplicity 4)  4 Re 2.95, 4 Y 2.95
Re 0.2500 0.2500 0.7500 (multiplicity 4)  4 Fe 2.95, 4 Y 2.95

---

No. 8
Density functional theory data (GGA-PBE) for a relaxed YFe2Re crystal.

Output
Offset from the most stable computed form (eV/atom): 0.112

a = 2.9711 Å, b = 2.9711 Å, c = 7.0375 Å
α = 90.00°, β = 90.00°, γ = 90.00°
Last column: nearest neighbours and their distance in Å.
Space group P4/mmm (No. 123)
Inequivalent atoms, fractional coordinates:
Y 0.0000 0.0000 0.0000 (multiplicity 1)  4 Y 2.97, 8 Fe 3.01
Fe 0.5000 0.5000 0.3060 (multiplicity 2)  4 Re 2.51, 1 Fe 2.73
Re 0.0000 0.0000 0.5000 (multiplicity 1)  8 Fe 2.51

---

No. 9
Density functional theory data (GGA-PBE) for a relaxed YFe2Re crystal.

Output
Offset from the most stable computed form (eV/atom): 0.453

a = 4.9741 Å, b = 2.6967 Å, c = 5.3342 Å
α = 90.00°, β = 116.03°, γ = 90.00°
Last column: nearest neighbours and their distance in Å.
Space group P2/m (No. 10)
Inequivalent atoms, fractional coordinates:
Y 0.0000 0.0000 0.0000 (multiplicity 1)  6 Fe 2.67-2.83, 2 Y 2.70
Fe 0.0000 0.0000 0.5000 (multiplicity 1)  2 Y 2.67, 2 Fe 2.70, 4 Re 2.83
Fe 0.5000 0.5000 0.0000 (multiplicity 1)  2 Re 2.67, 2 Fe 2.70, 4 Y 2.83
Re 0.5000 0.5000 0.5000 (multiplicity 1)  6 Fe 2.67-2.83, 2 Re 2.70

---

No. 10
Density functional theory data (GGA-PBE) for a relaxed Y2FeRe crystal.

Output
Offset from the most stable computed form (eV/atom): 0.322

a = 4.8746 Å, b = 4.8746 Å, c = 3.4669 Å
α = 90.00°, β = 90.00°, γ = 90.00°
Last column: nearest neighbours and their distance in Å.
Space group P4/mmm (No. 123)
Inequivalent atoms, fractional coordinates:
Y 0.0000 0.5000 0.0000 (multiplicity 2)  4 Fe 2.99, 4 Re 2.99
Fe 0.0000 0.0000 0.5000 (multiplicity 1)  8 Y 2.99
Re 0.5000 0.5000 0.5000 (multiplicity 1)  8 Y 2.99

---

No. 11
Density functional theory data (GGA-PBE) for a relaxed Y2FeRe crystal.

Output
Offset from the most stable computed form (eV/atom): 0.571

a = 3.3308 Å, b = 3.3308 Å, c = 26.4222 Å
α = 90.00°, β = 90.00°, γ = 120.00°
Last column: nearest neighbours and their distance in Å.
Space group R-3m (No. 166, hexagonal axes)
Inequivalent atoms, fractional coordinates:
Y 0.0000 0.0000 0.2481 (multiplicity 6)  3 Re 2.89, 3 Fe 2.96
Fe 0.0000 0.0000 0.0000 (multiplicity 3)  6 Y 2.96
Re 0.0000 0.0000 0.5000 (multiplicity 3)  6 Y 2.89

---

No. 12
Density functional theory data (GGA-PBE) for a relaxed YFe2Re crystal.

Output
Offset from the most stable computed form (eV/atom): 0.439

a = 2.8842 Å, b = 2.8842 Å, c = 26.9946 Å
α = 90.00°, β = 90.00°, γ = 120.00°
Last column: nearest neighbours and their distance in Å.
Space group R3m (No. 160, hexagonal axes)
Inequivalent atoms, fractional coordinates:
Y 0.0000 0.0000 0.0000 (multiplicity 3)  6 Y 2.88, 3 Fe 3.02, 3 Re 3.15
Fe 0.0000 0.0000 0.4951 (multiplicity 3)  3 Fe 2.48, 3 Re 2.57
Fe 0.0000 0.0000 0.7602 (multiplicity 3)  3 Fe 2.48
Re 0.0000 0.0000 0.2343 (multiplicity 3)  3 Fe 2.57

---

No. 13
Density functional theory data (GGA-PBE) for a relaxed YFe2Re crystal.

Output
Offset from the most stable computed form (eV/atom): 0.227

a = 3.0317 Å, b = 4.0778 Å, c = 5.4829 Å
α = 90.00°, β = 105.97°, γ = 90.00°
Last column: nearest neighbours and their distance in Å.
Space group Pm (No. 6)
Inequivalent atoms, fractional coordinates:
Y 0.0000 0.0000 0.0000 (multiplicity 1)  7 Fe 2.70-2.99
Fe 0.6184 0.5000 0.2380 (multiplicity 1)  2 Fe 2.43, 2 Re 2.47
Fe 0.7406 0.0000 0.4872 (multiplicity 1)  2 Fe 2.43, 4 Re 2.61-2.62, 1 Y 2.70
Re 0.3023 0.5000 0.6071 (multiplicity 1)  6 Fe 2.47-2.62

---

No. 14
Density functional theory data (GGA-PBE) for a relaxed YFe2Re crystal.

Output
Offset from the most stable computed form (eV/atom): 0.481

a = 2.9114 Å, b = 2.9114 Å, c = 26.6014 Å
α = 90.00°, β = 90.00°, γ = 120.00°
Last column: nearest neighbours and their distance in Å.
Space group R-3m (No. 166, hexagonal axes)
Inequivalent atoms, fractional coordinates:
Y 0.0000 0.0000 0.0000 (multiplicity 3)  6 Y 2.91, 6 Fe 3.00
Fe 0.0000 0.0000 0.2397 (multiplicity 6)  3 Re 2.57
Re 0.0000 0.0000 0.5000 (multiplicity 3)  6 Fe 2.57

---

No. 15
Density functional theory data (GGA-PBE) for a relaxed YFe4Re crystal.

a = 6.9790 Å, b = 6.9790 Å, c = 6.9790 Å
α = 90.00°, β = 90.00°, γ = 90.00°
Last column: nearest neighbours and their distance in Å.
Space group F-43m (No. 216)
Inequivalent atoms, fractional coordinates:
Y 0.0000 0.0000 0.0000 (multiplicity 4)  12 Fe 2.90, 4 Re 3.02
Fe 0.1234 0.1234 0.6234 (multiplicity 16)  6 Fe 2.44-2.50
Re 0.2500 0.2500 0.2500 (multiplicity 4)  12 Fe 2.89, 4 Y 3.02

---

Number 1: calculated total energy -33.6 eV/f.u., E_form 0.0661 eV/atom, Fermi-level density of states 6.817 states/eV/cell. Number 2: calculated total energy -33.8 eV/f.u., E_form 0.5209 eV/atom, Fermi-level density of states 6.101 states/eV/cell. Number 3: calculated total energy -63.3 eV/f.u., E_form 0.2331 eV/atom, Fermi-level density of states 26.206 states/eV/cell. Number 4: calculated total energy -35.4 eV/f.u., E_form 0.1117 eV/atom, Fermi-level density of states 16.216 states/eV/cell. Number 5: calculated total energy -33.7 eV/f.u., E_form 0.5284 eV/atom, Fermi-level density of states 17.544 states/eV/cell. Number 6: calculated total energy -34.1 eV/f.u., E_form 0.4405 eV/atom, Fermi-level density of states 8.652 states/eV/cell. Number 7: calculated total energy -31.8 eV/f.u., E_form 0.5139 eV/atom, Fermi-level density of states 28.286 states/eV/cell. Number 8: calculated total energy -34.9 eV/f.u., E_form 0.2238 eV/atom, Fermi-level density of states 4.253 states/eV/cell. Number 9: calculated total energy -33.6 eV/f.u., E_form 0.5648 eV/atom, Fermi-level density of states 3.723 states/eV/cell. Number 10: calculated total energy -32.4 eV/f.u., E_form 0.3696 eV/atom, Fermi-level density of states 8.605 states/eV/cell. Number 11: calculated total energy -31.4 eV/f.u., E_form 0.6195 eV/atom, Fermi-level density of states 17.660 states/eV/cell. Number 12: calculated total energy -33.6 eV/f.u., E_form 0.5504 eV/atom, Fermi-level density of states 13.743 states/eV/cell. Number 13: calculated total energy -34.5 eV/f.u., E_form 0.3390 eV/atom, Fermi-level density of states 4.946 states/eV/cell. Number 14: calculated total energy -33.5 eV/f.u., E_form 0.5927 eV/atom, Fermi-level density of states 15.674 states/eV/cell. Number 15: calculated total energy -51.9 eV/f.u., E_form 0.1441 eV/atom, Fermi-level density of states 31.789 states/eV/cell.